Entry 1:
Crystalline CaN2 at its relaxed geometry, computed with PBEsol.

Output
Raw formation energy, kJ/mol of atoms: -64.1
Crystal system: tetragonal

The structure in CIF format:
```
data_CaN2
_chemical_formula_sum 'Ca1 N2'
_space_group_name_H-M_alt 'P 1'
_space_group_IT_number 1
_space_group_name_Hall 'P 1'
_cell_length_a 3.550
_cell_length_b 3.878
_cell_length_c 3.550
_cell_angle_alpha 117.25
_cell_angle_beta 90.00
_cell_angle_gamma 117.25
loop_
_atom_site_label
_atom_site_type_symbol
_atom_site_fract_x
_atom_site_fract_y
_atom_site_fract_z
_atom_site_occupancy
N1 N 0.394 0.788 0.394 1
Ca1 Ca 0.000 0.000 0.000 1
N2 N 0.606 0.212 0.606 1
```


Entry 2:
Crystalline Ca3N2 at its relaxed geometry, computed with PBEsol.

Output
Raw formation energy, kJ/mol of atoms: -79.0
Crystal system: trigonal
Energy relative to the lowest polymorph listed for this composition, eV/atom: 0.085

The structure in CIF format:
```
data_Ca3N2
_chemical_formula_sum 'Ca3 N2'
_space_group_name_H-M_alt 'P 1'
_space_group_IT_number 1
_space_group_name_Hall 'P 1'
_cell_length_a 3.840
_cell_length_b 3.840
_cell_length_c 6.624
_cell_angle_alpha 90.00
_cell_angle_beta 90.00
_cell_angle_gamma 120.00
loop_
_atom_site_label
_atom_site_type_symbol
_atom_site_fract_x
_atom_site_fract_y
_atom_site_fract_z
_atom_site_occupancy
Ca1 Ca 0.333 0.667 0.339 1
N1 N 0.667 0.333 0.235 1
N2 N 0.333 0.667 0.765 1
Ca2 Ca 0.000 0.000 0.000 1
Ca3 Ca 0.667 0.333 0.661 1
```


Entry 3:
Crystalline Ca3N2 at its relaxed geometry, computed with PBEsol.

Output
Raw formation energy, kJ/mol of atoms: -87.2
Crystal system: cubic
Energy relative to the lowest polymorph listed for this composition, eV/atom: 0.000

The structure in CIF format:
```
data_Ca3N2
_chemical_formula_sum 'Ca24 N16'
_space_group_name_H-M_alt 'P 1'
_space_group_IT_number 1
_space_group_name_Hall 'P 1'
_cell_length_a 9.815
_cell_length_b 9.815
_cell_length_c 9.815
_cell_angle_alpha 109.47
_cell_angle_beta 109.47
_cell_angle_gamma 109.47
loop_
_atom_site_label
_atom_site_type_symbol
_atom_site_fract_x
_atom_site_fract_y
_atom_site_fract_z
_atom_site_occupancy
N1 N 0.500 0.500 0.500 1
N2 N 0.960 0.750 0.710 1
Ca1 Ca 0.463 0.007 0.235 1
Ca2 Ca 0.963 0.728 0.456 1
Ca3 Ca 0.772 0.235 0.228 1
Ca4 Ca 0.537 0.993 0.765 1
Ca5 Ca 0.735 0.463 0.507 1
Ca6 Ca 0.765 0.272 0.728 1
Ca7 Ca 0.993 0.265 0.037 1
N3 N 0.000 0.500 0.000 1
Ca8 Ca 0.728 0.772 0.735 1
N4 N 0.540 0.250 0.790 1
N5 N 0.750 0.210 0.460 1
N6 N 0.040 0.250 0.290 1
Ca9 Ca 0.272 0.228 0.265 1
Ca10 Ca 0.493 0.456 0.728 1
Ca11 Ca 0.044 0.037 0.772 1
Ca12 Ca 0.228 0.765 0.772 1
N7 N 0.290 0.540 0.750 1
N8 N 0.000 0.000 0.500 1
Ca13 Ca 0.235 0.728 0.272 1
Ca14 Ca 0.265 0.537 0.493 1
Ca15 Ca 0.456 0.228 0.993 1
N9 N 0.250 0.290 0.040 1
Ca16 Ca 0.037 0.272 0.544 1
Ca17 Ca 0.507 0.544 0.272 1
N10 N 0.790 0.040 0.750 1
Ca18 Ca 0.228 0.493 0.956 1
Ca19 Ca 0.772 0.507 0.044 1
Ca20 Ca 0.007 0.735 0.963 1
N11 N 0.250 0.790 0.540 1
Ca21 Ca 0.544 0.772 0.007 1
N12 N 0.460 0.750 0.210 1
N13 N 0.710 0.460 0.250 1
N14 N 0.210 0.960 0.250 1
Ca22 Ca 0.728 0.956 0.463 1
N15 N 0.500 0.000 0.000 1
Ca23 Ca 0.272 0.044 0.537 1
N16 N 0.750 0.710 0.960 1
Ca24 Ca 0.956 0.963 0.228 1
```